# SmCuSb2Rh4

SmCuSb2Rh4 after structural relaxation (PBE, Alexandria).

The electronic total energy comes out at -151.43 eV per cell. As for the calculated volume: 143.5 Å³/f.u. The uncorrected formation energy comes out at -0.5013 eV per atom.

The structure belongs to space group R-3m (No. 166, hexagonal axes); the cell edges are 4.4120, 4.4120 and 25.5322 Å and the angles 90.00°, 90.00° and 120.00°. The distinct sites, in fractional coordinates, are Sm at (0.0000, 0.0000, 0.0000), Cu at (0.0000, 0.0000, 0.5000), Sb at (0.0000, 0.0000, 0.2400), Rh at (0.0000, 0.0000, 0.1329) and Rh at (0.0000, 0.0000, 0.4016).

# Sm2Cu2SbRh5

Sm2Cu2SbRh5 after structural relaxation (PBE, Alexandria).

The electronic total energy comes out at -127.50 eV per cell. As for the calculated volume: 172.2 Å³/f.u. The uncorrected formation energy comes out at -0.5241 eV per atom.

The structure belongs to space group P4/mbm (No. 127); the cell edges are 9.479, 9.479 and 3.833 Å and the angles 90.00°, 90.00° and 90.00°. The distinct sites, in fractional coordinates, are Sm at (0.174, 0.326, 0.000), Cu at (0.122, 0.622, 0.000), Sb at (0.000, 0.000, 0.000), Rh at (0.000, 0.500, 0.500) and Rh at (0.069, 0.791, 0.500).

# Sm2CuSb3Rh4

Sm2CuSb3Rh4 after structural relaxation (PBE, Alexandria).

The electronic total energy comes out at -62.55 eV per cell. As for the calculated volume: 203.8 Å³/f.u. The uncorrected formation energy comes out at -0.7240 eV per atom.

The structure belongs to space group P-4m2 (No. 115); the cell edges are 4.327, 4.327 and 10.887 Å and the angles 90.00°, 90.00° and 90.00°. The distinct sites, in fractional coordinates, are Sm at (0.000, 0.500, 0.236), Cu at (0.500, 0.500, 0.000), Sb at (0.000, 0.000, 0.000), Sb at (0.000, 0.500, 0.638), Rh at (0.000, 0.000, 0.500), Rh at (0.000, 0.500, 0.870) and Rh at (0.500, 0.500, 0.500).